! LaMg2AlPt4 (GGA-PBE, optimized geometry); values from VASP
&SYSTEM
  ibrav = 0, nat = 8, ntyp = 4
/
ATOMIC_SPECIES
La 138.91 La.upf
Mg 24.30 Mg.upf
Al 26.98 Al.upf
Pt 195.08 Pt.upf
CELL_PARAMETERS angstrom
2.216 1.279 8.729
-2.216 1.279 8.729
0.000 -2.558 8.729
ATOMIC_POSITIONS angstrom
La 0.000 0.000 0.000
Mg 0.000 0.000 6.267
Mg 0.000 0.000 19.919
Al 0.000 0.000 13.093
Pt 0.000 0.000 3.543
Pt 0.000 0.000 10.544
Pt 0.000 0.000 15.642
Pt 0.000 0.000 22.643
! Formation energy from the elements: -0.96 eV per atom
! Electronic total energy: -43.7 eV per cell


! NpCdSn2 (GGA-PBE, optimized geometry); values from VASP
&SYSTEM
  ibrav = 0, nat = 4, ntyp = 3
/
ATOMIC_SPECIES
Np 237.00 Np.upf
Cd 112.41 Cd.upf
Sn 118.71 Sn.upf
CELL_PARAMETERS angstrom
4.746 0.000 0.000
0.000 4.746 0.000
0.000 0.000 4.381
ATOMIC_POSITIONS angstrom
Np 0.000 0.000 0.000
Cd 2.373 2.373 0.000
Sn 0.000 2.373 2.191
Sn 2.373 0.000 2.191
! Excess energy over the best structure of this formula in the dataset: 0.00 kcal/mol of atoms
! Formation energy from the elements: -0.09 eV per atom
! Electronic total energy: -22.2 eV per cell


! Sc6TlRh (GGA-PBE, optimized geometry); values from VASP
&SYSTEM
  ibrav = 0, nat = 8, ntyp = 3
/
ATOMIC_SPECIES
Sc 44.96 Sc.upf
Tl 204.38 Tl.upf
Rh 102.91 Rh.upf
CELL_PARAMETERS angstrom
-2.391 2.391 7.789
2.391 -2.391 7.789
2.391 2.391 -7.789
ATOMIC_POSITIONS angstrom
Sc 2.391 0.000 1.725
Sc 0.000 0.000 3.886
Sc 2.391 0.000 6.063
Sc 0.000 2.391 1.725
Sc 0.000 0.000 11.691
Sc 0.000 2.391 6.063
Tl 0.000 0.000 7.789
Rh 0.000 0.000 0.000
! Formation energy from the elements: -0.21 eV per atom
! Electronic total energy: -49.4 eV per cell


Size of the total moment readings, ordered: 0.00 4.14 0.00 μB/f.u.